Entry a
The following is a PBE-GGA calculation of a relaxed structure of Tb4Er8Tm3, from the Alexandria database.

Geometry as POSCAR:
```
Tb4Er8Tm3
1.0
6.596 -6.371 0.000
6.596 6.371 0.000
-3.327 0.000 5.748
Tb Er Tm
4 8 3
Direct
0.000 0.000 0.000
0.000 0.000 0.500
0.000 0.500 0.000
0.500 0.000 0.000
0.253 0.747 0.000
0.266 0.266 0.512
0.269 0.269 0.036
0.361 0.639 0.500
0.639 0.361 0.500
0.731 0.731 0.964
0.734 0.734 0.488
0.747 0.253 0.000
0.000 0.500 0.500
0.500 0.000 0.500
0.500 0.500 0.000
```

As for the symmetry: No. 12. For the total moment, the calculation gives 0.00 μB/f.u.

Entry b
The following is a PBE-GGA calculation of a relaxed structure of Tb4Er8Tm3, from the Alexandria database.

Geometry as POSCAR:
```
Tb4Er8Tm3
1.0
3.421 1.975 11.611
-3.421 1.975 11.611
0.000 -3.950 11.611
Tb Er Tm
4 8 3
Direct
0.000 0.000 0.000
0.164 0.164 0.164
0.500 0.500 0.500
0.836 0.836 0.836
0.250 0.250 0.747
0.250 0.747 0.250
0.253 0.750 0.750
0.255 0.255 0.255
0.745 0.745 0.745
0.747 0.250 0.250
0.750 0.253 0.750
0.750 0.750 0.253
0.000 0.500 0.500
0.500 0.000 0.500
0.500 0.500 0.000
```

As for the symmetry: No. 166. For the total moment, the calculation gives 0.00 μB/f.u.

Tell me which of them is the most stable. Sure, it is entry b.

Entry a
The following is a PBE-GGA calculation of a relaxed structure of Tb4Er5Tm2, from the Alexandria database.

Geometry as POSCAR:
```
Tb4Er5Tm2
1.0
10.649 -1.806 0.000
10.649 1.806 0.000
-1.985 0.000 8.896
Tb Er Tm
4 5 2
Direct
0.027 0.027 0.201
0.328 0.328 0.583
0.672 0.672 0.417
0.973 0.973 0.799
0.118 0.118 0.697
0.249 0.249 0.169
0.500 0.500 0.500
0.751 0.751 0.831
0.882 0.882 0.303
0.385 0.385 0.994
0.615 0.615 0.006
```

As for the symmetry: No. 12. For the total moment, the calculation gives 0.00 μB/f.u.

Entry b
The following is a PBE-GGA calculation of a relaxed structure of Tb4Er5Tm2, from the Alexandria database.

Geometry as POSCAR:
```
Tb4Er5Tm2
1.0
8.156 -3.287 0.000
8.156 3.287 0.000
-1.148 0.000 6.474
Tb Er Tm
4 5 2
Direct
0.089 0.089 0.405
0.256 0.256 0.190
0.744 0.744 0.810
0.911 0.911 0.595
0.151 0.673 0.095
0.327 0.849 0.905
0.500 0.500 0.500
0.673 0.151 0.095
0.849 0.327 0.905
0.298 0.298 0.701
0.702 0.702 0.299
```

As for the symmetry: No. 12. For the total moment, the calculation gives 0.00 μB/f.u.

Tell me which of them is the most stable. Sure, it is entry a.

Entry a
The following is a PBE-GGA calculation of a relaxed structure of Tb5ErTm3, from the Alexandria database.

Geometry as POSCAR:
```
Tb5ErTm3
1.0
7.497 -5.694 0.000
7.497 5.694 0.000
-6.267 0.000 7.510
Tb Er Tm
10 2 6
Direct
0.101 0.605 0.254
0.225 0.225 0.237
0.243 0.757 0.000
0.278 0.278 0.960
0.395 0.899 0.746
0.605 0.101 0.254
0.722 0.722 0.040
0.757 0.243 0.000
0.775 0.775 0.763
0.899 0.395 0.746
0.247 0.247 0.598
0.753 0.753 0.402
0.000 0.000 0.500
0.010 0.010 0.822
0.481 0.481 0.641
0.500 0.500 0.000
0.519 0.519 0.359
0.990 0.990 0.178
```

As for the symmetry: No. 12. For the total moment, the calculation gives 0.00 μB/f.u.

Entry b
The following is a PBE-GGA calculation of a relaxed structure of Tb5ErTm3, from the Alexandria database.

Geometry as POSCAR:
```
Tb5ErTm3
1.0
8.538 -3.796 0.000
8.538 3.796 0.000
-3.419 0.000 10.210
Tb Er Tm
10 2 6
Direct
0.082 0.586 0.915
0.086 0.579 0.420
0.246 0.754 0.750
0.414 0.918 0.585
0.421 0.914 0.080
0.579 0.086 0.920
0.586 0.082 0.415
0.754 0.246 0.250
0.914 0.421 0.580
0.918 0.414 0.085
0.256 0.744 0.250
0.744 0.256 0.750
0.159 0.172 0.831
0.172 0.159 0.331
0.500 0.500 0.000
0.500 0.500 0.500
0.828 0.841 0.669
0.841 0.828 0.169
```

As for the symmetry: No. 15. For the total moment, the calculation gives 0.00 μB/f.u.

Tell me which of them is the most stable. Sure, it is entry a.